1.
# KVCd

Crystalline KVCd at its relaxed geometry (GGA-PBE, the Alexandria database).

Unit cell a=3.293 b=3.293 c=14.512 alpha=90.14 beta=90.35 gamma=90.00
Fractional coordinates of all 6 atoms:
K: 0.240 0.246 0.142
K: 0.760 0.754 0.858
V: 0.249 0.250 0.465
V: 0.751 0.750 0.535
Cd: 0.255 0.252 0.664
Cd: 0.745 0.748 0.336

Results
- Fermi-level density of states (states/eV/f.u.) = 2.623
- calculated formation energy (eV/f.u.) = 0.951

---

2.
# InTcOs2

Crystalline InTcOs2 at its relaxed geometry (GGA-PBE, the Alexandria database).

Unit cell a=5.847 b=5.847 c=5.847 alpha=102.00 beta=102.00 gamma=125.76
Fractional coordinates of all 8 atoms:
In: 0.000 0.000 0.000
In: 0.750 0.250 0.500
Tc: 0.250 0.750 0.500
Tc: 0.500 0.500 0.000
Os: 0.175 0.625 0.050
Os: 0.375 0.425 0.550
Os: 0.575 0.125 0.950
Os: 0.875 0.825 0.450

Results
- Fermi-level density of states (states/eV/f.u.) = 2.861
- calculated formation energy (eV/f.u.) = 3.729

---

3.
# Y2CrCl

Crystalline Y2CrCl at its relaxed geometry (GGA-PBE, the Alexandria database).

Unit cell a=3.375 b=3.375 c=8.177 alpha=90.00 beta=90.00 gamma=90.00
Fractional coordinates of all 4 atoms:
Y: 0.000 0.000 0.221
Y: 0.000 0.000 0.779
Cr: 0.500 0.500 0.000
Cl: 0.500 0.500 0.500

Results
- Fermi-level density of states (states/eV/f.u.) = 3.079
- formation energy from raw total energies (eV/atom) = -0.37

---

4.
# Na2YMgCu

Crystalline Na2YMgCu at its relaxed geometry (GGA-PBE, the Alexandria database).

Unit cell a=6.399 b=6.399 c=6.110 alpha=90.00 beta=90.00 gamma=90.00
Fractional coordinates of all 5 atoms:
Na: 0.000 0.500 0.000
Na: 0.500 0.000 0.000
Y: 0.000 0.000 0.000
Mg: 0.000 0.000 0.500
Cu: 0.500 0.500 0.500

Results
- Fermi-level density of states (states/eV/f.u.) = 5.280
- calculated formation energy (eV/f.u.) = 6.644

---

5.
# SrZrCl

Crystalline SrZrCl at its relaxed geometry (GGA-PBE, the Alexandria database).

Unit cell a=7.215 b=7.215 c=7.215 alpha=152.88 beta=152.88 gamma=38.74
Fractional coordinates of all 3 atoms:
Sr: 0.000 0.000 0.000
Zr: 0.303 0.303 0.000
Cl: 0.666 0.666 0.000

Results
- Fermi-level density of states (states/eV/f.u.) = 2.777
- formation energy from raw total energies (eV/atom) = -0.37

---

6.
# Y2SbMo

Crystalline Y2SbMo at its relaxed geometry (GGA-PBE, the Alexandria database).

Unit cell a=6.549 b=6.549 c=6.549 alpha=102.05 beta=102.05 gamma=125.62
Fractional coordinates of all 8 atoms:
Y: 0.076 0.125 0.451
Y: 0.375 0.924 0.049
Y: 0.674 0.625 0.549
Y: 0.875 0.326 0.951
Sb: 0.250 0.750 0.500
Sb: 0.500 0.500 0.000
Mo: 0.000 0.000 0.000
Mo: 0.750 0.250 0.500

Results
- Fermi-level density of states (states/eV/f.u.) = 4.137
- formation energy from raw total energies (eV/atom) = 0.30

---

7.
# Tl2PdIO6

Crystalline Tl2PdIO6 at its relaxed geometry (GGA-PBE, the Alexandria database).

Unit cell a=10.477 b=10.477 c=10.477 alpha=33.39 beta=33.39 gamma=33.39
Fractional coordinates of all 20 atoms:
Tl: 0.121 0.121 0.121
Tl: 0.286 0.286 0.286
Tl: 0.714 0.714 0.714
Tl: 0.879 0.879 0.879
Pd: 0.407 0.407 0.407
Pd: 0.593 0.593 0.593
I: 0.000 0.000 0.000
I: 0.500 0.500 0.500
O: 0.173 0.601 0.601
O: 0.195 0.195 0.731
O: 0.195 0.731 0.195
O: 0.269 0.805 0.805
O: 0.399 0.399 0.827
O: 0.399 0.827 0.399
O: 0.601 0.173 0.601
O: 0.601 0.601 0.173
O: 0.731 0.195 0.195
O: 0.805 0.269 0.805
O: 0.805 0.805 0.269
O: 0.827 0.399 0.399

Results
- Fermi-level density of states (states/eV/f.u.) = 0.320
- formation energy from raw total energies (eV/atom) = -0.32

---

8.
# In2AsSe

Crystalline In2AsSe at its relaxed geometry (GGA-PBE, the Alexandria database).

Unit cell a=5.953 b=5.953 c=5.953 alpha=145.40 beta=122.83 gamma=68.58
Fractional coordinates of all 4 atoms:
In: 0.000 0.000 0.000
In: 0.723 0.223 0.500
As: 0.464 0.464 0.000
Se: 0.268 0.768 0.500

Results
- Fermi-level density of states (states/eV/f.u.) = 1.873
- formation energy from raw total energies (eV/atom) = 0.04

---

9.
# YCl5

Crystalline YCl5 at its relaxed geometry (GGA-PBE, the Alexandria database).

Unit cell a=3.985 b=5.306 c=11.489 alpha=90.00 beta=92.47 gamma=90.00
Fractional coordinates of all 6 atoms:
Y: 0.000 0.000 0.000
Cl: 0.481 0.000 0.846
Cl: 0.511 0.500 0.586
Cl: 0.519 0.000 0.154
Cl: 0.547 0.500 0.414
Cl: 0.999 0.500 0.000

Results
- Fermi-level density of states (states/eV/f.u.) = 0.000
- formation energy from raw total energies (eV/atom) = -1.49

---

10.
# KSb2Pd

Crystalline KSb2Pd at its relaxed geometry (GGA-PBE, the Alexandria database).

Unit cell a=5.166 b=5.166 c=5.166 alpha=60.00 beta=60.00 gamma=60.00
Fractional coordinates of all 4 atoms:
K: 0.000 0.000 0.000
Sb: 0.250 0.250 0.250
Sb: 0.750 0.750 0.750
Pd: 0.500 0.500 0.500

Results
- Fermi-level density of states (states/eV/f.u.) = 1.965
- formation energy from raw total energies (eV/atom) = 0.02

---

11.
# CaTmGaRh

Crystalline CaTmGaRh at its relaxed geometry (GGA-PBE, the Alexandria database).

Unit cell a=4.927 b=4.927 c=4.927 alpha=60.00 beta=60.00 gamma=60.00
Fractional coordinates of all 4 atoms:
Ca: 0.000 0.000 0.000
Tm: 0.500 0.500 0.500
Ga: 0.750 0.750 0.750
Rh: 0.250 0.250 0.250

Results
- Fermi-level density of states (states/eV/f.u.) = 3.219
- calculated formation energy (eV/f.u.) = -2.107

---

12.
# Zr2ReN

Crystalline Zr2ReN at its relaxed geometry (GGA-PBE, the Alexandria database).

Unit cell a=8.093 b=8.093 c=8.093 alpha=22.13 beta=22.13 gamma=22.13
Fractional coordinates of all 4 atoms:
Zr: 0.110 0.110 0.110
Zr: 0.890 0.890 0.890
Re: 0.000 0.000 0.000
N: 0.500 0.500 0.500

Results
- Fermi-level density of states (states/eV/f.u.) = 2.568
- formation energy from raw total energies (eV/atom) = -0.29

---

13.
# CaTiCd2Au

Crystalline CaTiCd2Au at its relaxed geometry (GGA-PBE, the Alexandria database).

Unit cell a=5.334 b=5.334 c=4.953 alpha=90.00 beta=90.00 gamma=90.00
Fractional coordinates of all 5 atoms:
Ca: 0.000 0.000 0.000
Ti: 0.500 0.500 0.500
Cd: 0.000 0.500 0.500
Cd: 0.500 0.000 0.500
Au: 0.500 0.500 0.000

Results
- Fermi-level density of states (states/eV/f.u.) = 4.708
- calculated formation energy (eV/f.u.) = 1.021

---

14.
# Pm2Nd6Dy3In

Crystalline Pm2Nd6Dy3In at its relaxed geometry (GGA-PBE, the Alexandria database).

Unit cell a=6.230 b=6.230 c=11.912 alpha=95.02 beta=95.02 gamma=120.12
Fractional coordinates of all 12 atoms:
Pm: 0.166 0.834 0.000
Pm: 0.834 0.166 0.000
Nd: 0.091 0.417 0.750
Nd: 0.258 0.258 0.251
Nd: 0.417 0.091 0.750
Nd: 0.583 0.909 0.250
Nd: 0.742 0.742 0.749
Nd: 0.909 0.583 0.250
Dy: 0.000 0.000 0.500
Dy: 0.333 0.667 0.500
Dy: 0.667 0.333 0.500
In: 0.500 0.500 0.000

Results
- Fermi-level density of states (states/eV/f.u.) = 13.634
- calculated formation energy (eV/f.u.) = -0.583

---

15.
# Cd2MoOs

Crystalline Cd2MoOs at its relaxed geometry (GGA-PBE, the Alexandria database).

Unit cell a=3.000 b=3.000 c=8.104 alpha=90.00 beta=90.00 gamma=90.00
Fractional coordinates of all 4 atoms:
Cd: 0.000 0.000 0.000
Cd: 0.500 0.500 0.292
Mo: 0.000 0.000 0.561
Os: 0.500 0.500 0.741

Results
- Fermi-level density of states (states/eV/f.u.) = 2.525
- calculated formation energy (eV/f.u.) = 0.759

---

16.
# NaPm4NdSe8

Crystalline NaPm4NdSe8 at its relaxed geometry (GGA-PBE, the Alexandria database).

Unit cell a=8.692 b=8.692 c=8.692 alpha=59.84 beta=59.84 gamma=59.84
Fractional coordinates of all 14 atoms:
Na: 0.000 0.000 0.000
Pm: 0.370 0.370 0.888
Pm: 0.370 0.888 0.370
Pm: 0.749 0.749 0.749
Pm: 0.888 0.370 0.370
Nd: 0.370 0.370 0.370
Se: 0.133 0.133 0.596
Se: 0.133 0.596 0.133
Se: 0.134 0.134 0.134
Se: 0.148 0.617 0.617
Se: 0.596 0.133 0.133
Se: 0.616 0.616 0.616
Se: 0.617 0.148 0.617
Se: 0.617 0.617 0.148

Results
- Fermi-level density of states (states/eV/f.u.) = 0.000
- formation energy from raw total energies (eV/atom) = -1.76

---

17.
# GdNpBi2

Crystalline GdNpBi2 at its relaxed geometry (GGA-PBE, the Alexandria database).

Unit cell a=5.506 b=5.506 c=5.506 alpha=60.00 beta=60.00 gamma=60.00
Fractional coordinates of all 4 atoms:
Gd: 0.000 0.000 0.000
Np: 0.500 0.500 0.500
Bi: 0.250 0.250 0.250
Bi: 0.750 0.750 0.750

Results
- Fermi-level density of states (states/eV/f.u.) = 14.849
- calculated formation energy (eV/f.u.) = -0.856

---

18.
# HfCu2Pd2

Crystalline HfCu2Pd2 at its relaxed geometry (GGA-PBE, the Alexandria database).

Unit cell a=7.087 b=7.087 c=3.033 alpha=90.00 beta=90.00 gamma=90.00
Fractional coordinates of all 10 atoms:
Hf: 0.000 0.000 0.000
Hf: 0.500 0.500 0.000
Cu: 0.122 0.378 0.000
Cu: 0.378 0.878 0.000
Cu: 0.622 0.122 0.000
Cu: 0.878 0.622 0.000
Pd: 0.174 0.674 0.500
Pd: 0.326 0.174 0.500
Pd: 0.674 0.826 0.500
Pd: 0.826 0.326 0.500

Results
- Fermi-level density of states (states/eV/f.u.) = 3.129
- calculated formation energy (eV/f.u.) = -1.431

---

19.
# ZnCd5Pd8

Crystalline ZnCd5Pd8 at its relaxed geometry (GGA-PBE, the Alexandria database).

Unit cell a=6.862 b=6.862 c=6.862 alpha=110.23 beta=110.23 gamma=107.97
Fractional coordinates of all 14 atoms:
Zn: 0.000 0.000 0.000
Cd: 0.293 0.637 0.105
Cd: 0.363 0.468 0.656
Cd: 0.532 0.188 0.895
Cd: 0.750 0.250 0.500
Cd: 0.812 0.707 0.344
Pd: 0.013 0.405 0.251
Pd: 0.085 0.162 0.744
Pd: 0.154 0.762 0.749
Pd: 0.238 0.987 0.392
Pd: 0.418 0.341 0.256
Pd: 0.595 0.846 0.608
Pd: 0.659 0.915 0.077
Pd: 0.838 0.582 0.923

Results
- Fermi-level density of states (states/eV/f.u.) = 3.494
- calculated formation energy (eV/f.u.) = -3.663

---

20.
# Tm2ThHg6

Crystalline Tm2ThHg6 at its relaxed geometry (GGA-PBE, the Alexandria database).

Unit cell a=8.653 b=8.653 c=3.385 alpha=90.02 beta=90.02 gamma=59.98
Fractional coordinates of all 9 atoms:
Tm: 0.167 0.167 0.000
Tm: 0.833 0.833 0.000
Th: 0.500 0.500 0.000
Hg: 0.163 0.500 0.499
Hg: 0.163 0.837 0.500
Hg: 0.500 0.163 0.499
Hg: 0.500 0.837 0.501
Hg: 0.837 0.163 0.500
Hg: 0.837 0.500 0.501

Results
- Fermi-level density of states (states/eV/f.u.) = 4.420
- calculated formation energy (eV/f.u.) = -2.834

---

Total energy, respectively: -20.361, -63.670, -25.872, -8.149, -13.175, -53.358, -88.934, -13.462, -24.618, -14.453, -18.958, -39.029, -13.983, -55.236, -23.132, -77.628, -35.640, -59.925, -51.055, -21.008 eV/cell.